# 1
A plane-wave DFT calculation with PBE was carried out for a geometry-optimized Nd4ErCd3 structure.

a b c (Å): 3.793 5.557 11.230
angles (deg): 90.00 90.00 90.00
Fractional coordinates of all 8 atoms:
1 Nd 0.000 0.000 0.000
2 Nd 0.000 0.000 0.500
3 Nd 0.000 0.500 0.239
4 Nd 0.000 0.500 0.761
5 Er 0.500 0.500 0.500
6 Cd 0.500 0.000 0.254
7 Cd 0.500 0.000 0.746
8 Cd 0.500 0.500 0.000

E_form   -1.55 eV per formula unit
Crystal system   orthorhombic
M_tot   0.09 μB/f.u.
Space-group type   Pmmm
Density of states at the Fermi level   1.435 states/eV per atom

---

# 2
A plane-wave DFT calculation with PBE was carried out for a geometry-optimized TaTi2In2 structure.

a b c (Å): 7.636 7.636 3.314
angles (deg): 90.00 90.00 90.00
Fractional coordinates of all 10 atoms:
1 Ta 0.000 0.000 0.000
2 Ta 0.500 0.500 0.000
3 Ti 0.173 0.327 0.500
4 Ti 0.327 0.827 0.500
5 Ti 0.673 0.173 0.500
6 Ti 0.827 0.673 0.500
7 In 0.130 0.630 0.000
8 In 0.370 0.130 0.000
9 In 0.630 0.870 0.000
10 In 0.870 0.370 0.000

E_form   0.75 eV per formula unit
Crystal system   tetragonal
M_tot   0.00 μB/f.u.
Space-group type   P4/mbm
Density of states at the Fermi level   1.025 states/eV per atom

---

Q: The lowest E_form belongs to which entry?
A: Nd4ErCd3

---

Repeat the first record exactly.
A plane-wave DFT calculation with PBE was carried out for a geometry-optimized Nd4ErCd3 structure.

a b c (Å): 3.793 5.557 11.230
angles (deg): 90.00 90.00 90.00
Fractional coordinates of all 8 atoms:
1 Nd 0.000 0.000 0.000
2 Nd 0.000 0.000 0.500
3 Nd 0.000 0.500 0.239
4 Nd 0.000 0.500 0.761
5 Er 0.500 0.500 0.500
6 Cd 0.500 0.000 0.254
7 Cd 0.500 0.000 0.746
8 Cd 0.500 0.500 0.000

E_form   -1.55 eV per formula unit
Crystal system   orthorhombic
M_tot   0.09 μB/f.u.
Space-group type   Pmmm
Density of states at the Fermi level   1.435 states/eV per atom

---

Q: Number 2 is which compound?
A: TaTi2In2

---

Q: The highest E_form belongs to which entry?
A: TaTi2In2